Below is crystalline KUCl5 at its relaxed geometry, with properties calculated at the GGA-PBE level.

Computed properties:
**M_tot**: 2.000 μB per formula unit
**Calculated total energy**: -4.901 eV per atom
**DOS at the Fermi energy**: 2.30 states/eV/f.u.

a = 7.6130 Å, b = 7.6130 Å, c = 10.7405 Å
α = 69.86°, β = 69.86°, γ = 69.43°
With the nearest neighbours (Å) after each atom.
Element x y z (fractional)
K 0.5413 0.4587 0.7500  7 Cl 3.20-3.43
K 0.4587 0.5413 0.2500  7 Cl 3.20-3.43
U 0.0000 0.0000 0.0000  6 Cl 2.56-2.74
U 0.0000 0.0000 0.5000  6 Cl 2.56-2.74
Cl 0.2871 0.1517 0.8837  1 U 2.56
Cl 0.3409 0.7615 0.5091  1 U 2.60
Cl 0.1517 0.2871 0.3837  1 U 2.56
Cl 0.9354 0.0646 0.7500  2 U 2.74
Cl 0.2385 0.6591 0.9909  1 U 2.60
Cl 0.7615 0.3409 0.0091  1 U 2.60
Cl 0.0646 0.9354 0.2500  2 U 2.74
Cl 0.8483 0.7129 0.6163  1 U 2.56
Cl 0.6591 0.2385 0.4909  1 U 2.60
Cl 0.7129 0.8483 0.1163  1 U 2.56